GGA-PBE Li2Al3Au5, relaxed; total magnetic moment = 0.0 μB per formula unit; energy relative to the elements = -0.42 eV per atom; calculated density = 10.5 Mg/m³
1.0
4.881 -6.410 0.000
4.881 6.410 0.000
-0.489 0.000 5.437
Li Al Au
4 6 10
Direct
0.116 0.639 0.891
0.361 0.884 0.609
0.639 0.116 0.391
0.884 0.361 0.109
0.009 0.285 0.590
0.285 0.009 0.090
0.460 0.540 0.750
0.540 0.460 0.250
0.715 0.991 0.910
0.991 0.715 0.410
0.041 0.959 0.750
0.215 0.325 0.976
0.219 0.551 0.399
0.325 0.215 0.476
0.449 0.781 0.101
0.551 0.219 0.899
0.675 0.785 0.524
0.781 0.449 0.601
0.785 0.675 0.024
0.959 0.041 0.250

---

GGA-PBE KTlBrCl, relaxed; energy relative to the elements, uncorrected = -1.37 eV/atom; total magnetic moment = 0.0 μB per formula unit; calculated density = 4.2 Mg/m³; relative energy among the computed polymorphs = 0 meV/atom
1.0
2.266 1.308 8.009
-2.266 1.308 8.009
0.000 -2.617 8.009
K Tl Br Cl
1 1 1 1
Direct
0.000 0.000 0.000
0.839 0.839 0.839
0.419 0.419 0.419
0.592 0.592 0.592